Record 1
Below is Pr12Tl5Ru3 after structural relaxation, with properties calculated at the PBE level.

Cell lengths 15.4614, 15.4614, 15.4614 Å; angles 109.47, 109.47, 109.47 degrees
Closest atoms and distances in Å follow each position.
Fractional coordinates of all 80 atoms:
Ru1 0.7500 0.3750 0.1250  4 Pr 2.85
Ru2 0.8750 0.7500 0.1250  4 Pr 2.85
Ru3 0.3750 0.7500 0.6250  4 Pr 2.85
Ru4 0.2500 0.1250 0.3750  4 Pr 2.85
Ru5 0.8750 0.1250 0.2500  4 Pr 2.85
Ru6 0.3750 0.6250 0.2500  4 Pr 2.85
Ru7 0.6250 0.3750 0.7500  4 Pr 2.85
Ru8 0.1250 0.8750 0.7500  4 Pr 2.85
Ru9 0.7500 0.8750 0.6250  4 Pr 2.85
Ru10 0.6250 0.2500 0.3750  4 Pr 2.85
Ru11 0.1250 0.2500 0.8750  4 Pr 2.85
Ru12 0.2500 0.6250 0.8750  4 Pr 2.85
Tl1 0.1250 0.3750 0.2500  4 Pr 3.11
Tl2 0.0000 0.5000 0.0000  6 Pr 3.14
Tl3 0.0000 0.0000 0.0000  6 Pr 3.14
Tl4 0.3750 0.2500 0.1250  4 Pr 3.11
Tl5 0.5000 0.0000 0.5000  6 Pr 3.14
Tl6 0.5000 0.5000 0.0000  6 Pr 3.14
Tl7 0.1250 0.7500 0.3750  4 Pr 3.11
Tl8 0.7500 0.1250 0.8750  4 Pr 3.11
Tl9 0.7500 0.6250 0.3750  4 Pr 3.11
Tl10 0.3750 0.1250 0.7500  4 Pr 3.11
Tl11 0.6250 0.8750 0.2500  4 Pr 3.11
Tl12 0.5000 0.5000 0.5000  6 Pr 3.14
Tl13 0.5000 0.0000 0.0000  6 Pr 3.14
Tl14 0.0000 0.0000 0.5000  6 Pr 3.14
Tl15 0.2500 0.3750 0.6250  4 Pr 3.11
Tl16 0.2500 0.8750 0.1250  4 Pr 3.11
Tl17 0.0000 0.5000 0.5000  6 Pr 3.14
Tl18 0.8750 0.2500 0.6250  4 Pr 3.11
Tl19 0.6250 0.7500 0.8750  4 Pr 3.11
Tl20 0.8750 0.6250 0.7500  4 Pr 3.11
Pr1 0.7411 0.1291 0.0740  1 Ru 2.85, 2 Tl 3.11-3.14
Pr2 0.3329 0.5740 0.4449  1 Ru 2.85, 2 Tl 3.11-3.14
Pr3 0.9260 0.3709 0.2589  1 Ru 2.85, 2 Tl 3.11-3.14
Pr4 0.5740 0.2411 0.1291  1 Ru 2.85, 2 Tl 3.11-3.14
Pr5 0.6120 0.7411 0.6671  1 Ru 2.85, 2 Tl 3.11-3.14
Pr6 0.9260 0.5551 0.1671  1 Ru 2.85, 2 Tl 3.11-3.14
Pr7 0.3329 0.7589 0.3880  1 Ru 2.85, 2 Tl 3.11-3.14
Pr8 0.0551 0.8880 0.1291  1 Ru 2.85, 2 Tl 3.11-3.14
Pr9 0.5551 0.9260 0.6671  1 Ru 2.85, 2 Tl 3.11-3.14
Pr10 0.7411 0.6120 0.1671  1 Ru 2.85, 2 Tl 3.11-3.14
Pr11 0.7589 0.4260 0.3709  1 Ru 2.85, 2 Tl 3.11-3.14
Pr12 0.8329 0.9449 0.0740  1 Ru 2.85, 2 Tl 3.11-3.14
Pr13 0.1291 0.7411 0.5740  1 Ru 2.85, 2 Tl 3.11-3.14
Pr14 0.3709 0.4449 0.1120  1 Ru 2.85, 2 Tl 3.11-3.14
Pr15 0.1120 0.9449 0.3709  1 Ru 2.85, 2 Tl 3.11-3.14
Pr16 0.3880 0.1291 0.5551  1 Ru 2.85, 2 Tl 3.11-3.14
Pr17 0.1120 0.1671 0.2411  1 Ru 2.85, 2 Tl 3.11-3.14
Pr18 0.4260 0.6671 0.0551  1 Ru 2.85, 2 Tl 3.11-3.14
Pr19 0.8329 0.8880 0.2589  1 Ru 2.85, 2 Tl 3.11-3.14
Pr20 0.1291 0.3880 0.0551  1 Ru 2.85, 2 Tl 3.11-3.14
Pr21 0.3709 0.9260 0.7589  1 Ru 2.85, 2 Tl 3.11-3.14
Pr22 0.5551 0.6291 0.3880  1 Ru 2.85, 2 Tl 3.11-3.14
Pr23 0.9449 0.8329 0.5740  1 Ru 2.85, 2 Tl 3.11-3.14
Pr24 0.7589 0.3329 0.8880  1 Ru 2.85, 2 Tl 3.11-3.14
Pr25 0.4449 0.3709 0.6120  1 Ru 2.85, 2 Tl 3.11-3.14
Pr26 0.0551 0.1671 0.4260  1 Ru 2.85, 2 Tl 3.11-3.14
Pr27 0.2411 0.6671 0.1120  1 Ru 2.85, 2 Tl 3.11-3.14
Pr28 0.1671 0.1120 0.7411  1 Ru 2.85, 2 Tl 3.11-3.14
Pr29 0.6291 0.0740 0.2411  1 Ru 2.85, 2 Tl 3.11-3.14
Pr30 0.8709 0.6120 0.9449  1 Ru 2.85, 2 Tl 3.11-3.14
Pr31 0.5740 0.3329 0.9449  1 Ru 2.85, 2 Tl 3.11-3.14
Pr32 0.6120 0.8709 0.4449  1 Ru 2.85, 2 Tl 3.11-3.14
Pr33 0.8880 0.8329 0.7589  1 Ru 2.85, 2 Tl 3.11-3.14
Pr34 0.8880 0.0551 0.6291  1 Ru 2.85, 2 Tl 3.11-3.14
Pr35 0.8709 0.2589 0.4260  1 Ru 2.85, 2 Tl 3.11-3.14
Pr36 0.1671 0.0551 0.9260  1 Ru 2.85, 2 Tl 3.11-3.14
Pr37 0.6291 0.5551 0.8880  1 Ru 2.85, 2 Tl 3.11-3.14
Pr38 0.4449 0.0740 0.3329  1 Ru 2.85, 2 Tl 3.11-3.14
Pr39 0.2589 0.3880 0.8329  1 Ru 2.85, 2 Tl 3.11-3.14
Pr40 0.2411 0.5740 0.6291  1 Ru 2.85, 2 Tl 3.11-3.14
Pr41 0.9449 0.1120 0.8709  1 Ru 2.85, 2 Tl 3.11-3.14
Pr42 0.6671 0.2411 0.6120  1 Ru 2.85, 2 Tl 3.11-3.14
Pr43 0.4260 0.7589 0.8709  1 Ru 2.85, 2 Tl 3.11-3.14
Pr44 0.0740 0.4449 0.8329  1 Ru 2.85, 2 Tl 3.11-3.14
Pr45 0.3880 0.2589 0.3329  1 Ru 2.85, 2 Tl 3.11-3.14
Pr46 0.0740 0.6291 0.7411  1 Ru 2.85, 2 Tl 3.11-3.14
Pr47 0.6671 0.4260 0.5551  1 Ru 2.85, 2 Tl 3.11-3.14
Pr48 0.2589 0.8709 0.9260  1 Ru 2.85, 2 Tl 3.11-3.14

Computed properties:
Formation energy, eV/atom: 0.243
DOS(E_F), states/eV/f.u.: 20.76

=====

Record 2
Below is Pr5TlRu after structural relaxation, with properties calculated at the PBE level.

Cell lengths 6.3034, 6.3034, 12.1090 Å; angles 76.41, 76.41, 75.36 degrees
Closest atoms and distances in Å follow each position.
Fractional coordinates of all 14 atoms:
Pr1 0.9315 0.5837 0.1276  1 Ru 2.80
Pr2 0.2083 0.5521 0.5551  1 Ru 2.79
Pr3 0.5837 0.9315 0.6276  1 Ru 2.80
Pr4 0.0058 0.9942 0.2500  2 Ru 3.03, 1 Tl 3.20
Pr5 0.4479 0.7917 0.9449  1 Ru 2.79
Pr6 0.5521 0.2083 0.0551  1 Ru 2.79
Pr7 0.9942 0.0058 0.7500  2 Ru 3.03, 1 Tl 3.20
Pr8 0.4163 0.0685 0.3724  1 Ru 2.80
Pr9 0.7917 0.4479 0.4449  1 Ru 2.79
Pr10 0.0685 0.4163 0.8724  1 Ru 2.80
Tl1 0.4210 0.5790 0.2500  5 Pr 3.20-3.52
Tl2 0.5790 0.4210 0.7500  5 Pr 3.20-3.52
Ru1 0.0000 0.0000 0.0000  6 Pr 2.79-3.03
Ru2 0.0000 0.0000 0.5000  6 Pr 2.79-3.03

Computed properties:
Formation energy, eV/atom: -0.101
DOS(E_F), states/eV/f.u.: 7.68

=====

Record 3
Below is Pr4TlRu after structural relaxation, with properties calculated at the PBE level.

Cell lengths 10.0317, 10.0317, 10.0317 Å; angles 60.00, 60.00, 60.00 degrees
Closest atoms and distances in Å follow each position.
Fractional coordinates of all 24 atoms:
Pr1 0.4035 0.4035 0.4035  3 Ru 2.98
Pr2 0.7895 0.4035 0.4035  3 Ru 2.98
Pr3 0.4035 0.7895 0.4035  3 Ru 2.98
Pr4 0.4035 0.4035 0.7895  3 Ru 2.98
Pr5 0.5578 0.5578 0.9422  2 Ru 2.87
Pr6 0.9422 0.9422 0.5578  2 Ru 2.87
Pr7 0.5578 0.9422 0.5578  2 Ru 2.87
Pr8 0.9422 0.5578 0.9422  2 Ru 2.87
Pr9 0.9422 0.5578 0.5578  2 Ru 2.87
Pr10 0.5578 0.9422 0.9422  2 Ru 2.87
Pr11 0.1915 0.1915 0.8085  2 Tl 3.36, 6 Pr 3.58-3.73, 2 Ru 3.58
Pr12 0.8085 0.8085 0.1915  2 Tl 3.36, 6 Pr 3.58-3.73, 2 Ru 3.58
Pr13 0.1915 0.8085 0.1915  2 Tl 3.36, 6 Pr 3.58-3.73, 2 Ru 3.58
Pr14 0.8085 0.1915 0.8085  2 Tl 3.36, 6 Pr 3.58-3.73, 2 Ru 3.58
Pr15 0.8085 0.1915 0.1915  2 Tl 3.36, 6 Pr 3.58-3.73, 2 Ru 3.58
Pr16 0.1915 0.8085 0.8085  2 Tl 3.36, 6 Pr 3.58-3.73, 2 Ru 3.58
Tl1 0.1667 0.1667 0.1667  3 Tl 3.34, 9 Pr 3.36-3.64
Tl2 0.4999 0.1667 0.1667  3 Tl 3.34, 9 Pr 3.36-3.64
Tl3 0.1667 0.4999 0.1667  3 Tl 3.34, 9 Pr 3.36-3.64
Tl4 0.1667 0.1667 0.4999  3 Tl 3.34, 9 Pr 3.36-3.64
Ru1 0.6126 0.6126 0.6126  6 Pr 2.87-2.98
Ru2 0.1623 0.6126 0.6126  6 Pr 2.87-2.98
Ru3 0.6126 0.1623 0.6126  6 Pr 2.87-2.98
Ru4 0.6126 0.6126 0.1623  6 Pr 2.87-2.98

Computed properties:
Formation energy, eV/atom: -0.274
DOS(E_F), states/eV/f.u.: 4.32

=====

Record 4
Below is Pr8Tl2Ru3 after structural relaxation, with properties calculated at the PBE level.

Cell lengths 9.1708, 9.1708, 5.1588 Å; angles 90.00, 90.00, 113.12 degrees
Closest atoms and distances in Å follow each position.
Fractional coordinates of all 13 atoms:
Pr1 0.3901 0.6099 0.0000  2 Ru 3.03, 2 Tl 3.29, 1 Pr 3.36
Pr2 0.6099 0.3901 0.0000  2 Ru 3.03, 2 Tl 3.29, 1 Pr 3.36
Pr3 0.8875 0.1125 0.0000  4 Ru 3.07-3.10, 2 Tl 3.40
Pr4 0.1125 0.8875 0.0000  4 Ru 3.07-3.10, 2 Tl 3.40
Pr5 0.8647 0.6448 0.5000  3 Ru 3.00-3.08, 2 Tl 3.28-3.35
Pr6 0.3552 0.1353 0.5000  3 Ru 3.00-3.08, 2 Tl 3.28-3.35
Pr7 0.6448 0.8647 0.5000  3 Ru 3.00-3.08, 2 Tl 3.28-3.35
Pr8 0.1353 0.3552 0.5000  3 Ru 3.00-3.08, 2 Tl 3.28-3.35
Tl1 0.7430 0.2570 0.5000  8 Pr 3.28-3.40
Tl2 0.2570 0.7430 0.5000  8 Pr 3.28-3.40
Ru1 0.0000 0.0000 0.5000  8 Pr 3.00-3.10
Ru2 0.2509 0.2509 0.0000  8 Pr 3.03-3.08
Ru3 0.7491 0.7491 0.0000  8 Pr 3.03-3.08

Computed properties:
Formation energy, eV/atom: -0.125
DOS(E_F), states/eV/f.u.: 13.14

=====

| no. | uncorrected energy (Ry per atom) |
| --- | --- |
| 1 | -0.3387 |
| 2 | -0.3806 |
| 3 | -0.3970 |
| 4 | -0.4094 |